A plane-wave DFT calculation with PBE was carried out for crystalline BaGaI at its relaxed geometry.

Structure (CIF):
```
data_BaGaI
_cell_length_a 4.384
_cell_length_b 4.497
_cell_length_c 11.947
_cell_angle_alpha 90.05
_cell_angle_beta 99.85
_cell_angle_gamma 90.09
_symmetry_space_group_name_H-M 'P -1'
_symmetry_Int_Tables_number 2
loop_
_symmetry_equiv_pos_as_xyz
'x,y,z'
'-x,-y,-z'
loop_
_atom_site_label
_atom_site_fract_x
_atom_site_fract_y
_atom_site_fract_z
_atom_site_occupancy
Ba1 0.119 0.250 0.215 1
Ga1 0.466 0.750 0.038 1
I1 0.314 0.250 0.637 1
```

Results
total magnetic moment = 0.00 μB per formula unit
uncorrected formation energy = -976 meV per atom

***

A plane-wave DFT calculation with PBE was carried out for crystalline Ba3GaI3 at its relaxed geometry.

Structure (CIF):
```
data_Ba3GaI3
_cell_length_a 14.130
_cell_length_b 14.130
_cell_length_c 14.130
_cell_angle_alpha 90.00
_cell_angle_beta 90.00
_cell_angle_gamma 90.00
_symmetry_space_group_name_H-M 'I 41 3 2'
_symmetry_Int_Tables_number 214
_symmetry_space_group_name_Hall 'I 4bd 2c 3'
loop_
_atom_site_label
_atom_site_fract_x
_atom_site_fract_y
_atom_site_fract_z
_atom_site_occupancy
Ba1 0.119 0.369 0.125 1
Ga1 0.125 0.125 0.125 1
I1 0.125 0.125 0.625 1
```

Results
total magnetic moment = 1.94 μB per formula unit
uncorrected formation energy = -1196 meV per atom

***

A plane-wave DFT calculation with PBE was carried out for crystalline BaGa2I4 at its relaxed geometry.

Structure (CIF):
```
data_BaGa2I4
_cell_length_a 17.889
_cell_length_b 4.961
_cell_length_c 8.223
_cell_angle_alpha 90.00
_cell_angle_beta 115.83
_cell_angle_gamma 90.00
_symmetry_space_group_name_H-M 'C 1 2/m 1'
_symmetry_Int_Tables_number 12
loop_
_symmetry_equiv_pos_as_xyz
'x,y,z'
'-x,-y,-z'
'-x,y,-z'
'x,-y,z'
'x+1/2,y+1/2,z'
'-x+1/2,-y+1/2,-z'
'-x+1/2,y+1/2,-z'
'x+1/2,-y+1/2,z'
loop_
_atom_site_label
_atom_site_fract_x
_atom_site_fract_y
_atom_site_fract_z
_atom_site_occupancy
Ba1 0.000 0.000 0.000 1
Ga1 0.231 0.500 0.707 1
I1 0.133 0.000 0.461 1
I2 0.133 0.500 0.985 1
```

Results
total magnetic moment = 0.00 μB per formula unit
uncorrected formation energy = -922 meV per atom

***

A plane-wave DFT calculation with PBE was carried out for crystalline BaGaI at its relaxed geometry.

Structure (CIF):
```
data_BaGaI
_cell_length_a 8.113
_cell_length_b 4.688
_cell_length_c 13.518
_cell_angle_alpha 90.00
_cell_angle_beta 102.19
_cell_angle_gamma 90.00
_symmetry_space_group_name_H-M 'C 1 m 1'
_symmetry_Int_Tables_number 8
loop_
_symmetry_equiv_pos_as_xyz
'x,y,z'
'x,-y,z'
'x+1/2,y+1/2,z'
'x+1/2,-y+1/2,z'
loop_
_atom_site_label
_atom_site_fract_x
_atom_site_fract_y
_atom_site_fract_z
_atom_site_occupancy
Ba1 0.000 0.000 0.000 1
Ba2 0.135 0.000 0.382 1
Ga1 0.234 0.500 0.191 1
Ga2 0.401 0.000 0.191 1
I1 0.023 0.500 0.540 1
I2 0.278 0.000 0.842 1
```

Results
total magnetic moment = 0.00 μB per formula unit
uncorrected formation energy = -1045 meV per atom

***

A plane-wave DFT calculation with PBE was carried out for crystalline BaGaI3 at its relaxed geometry.

Structure (CIF):
```
data_BaGaI3
_cell_length_a 6.724
_cell_length_b 6.724
_cell_length_c 6.724
_cell_angle_alpha 90.00
_cell_angle_beta 90.00
_cell_angle_gamma 90.00
_symmetry_space_group_name_H-M 'P m -3 m'
_symmetry_Int_Tables_number 221
_symmetry_space_group_name_Hall '-P 4 2 3'
loop_
_atom_site_label
_atom_site_fract_x
_atom_site_fract_y
_atom_site_fract_z
_atom_site_occupancy
Ba1 0.000 0.000 0.000 1
Ga1 0.500 0.500 0.500 1
I1 0.000 0.000 0.500 1
```

Results
total magnetic moment = 0.00 μB per formula unit
ΔE to the lowest computed polymorph = 274 meV per atom
uncorrected formation energy = -904 meV per atom

***

A plane-wave DFT calculation with PBE was carried out for crystalline BaGaI at its relaxed geometry.

Structure (CIF):
```
data_BaGaI
_cell_length_a 8.106
_cell_length_b 4.684
_cell_length_c 13.418
_cell_angle_alpha 90.00
_cell_angle_beta 99.67
_cell_angle_gamma 90.00
_symmetry_space_group_name_H-M 'C 1 2/m 1'
_symmetry_Int_Tables_number 12
loop_
_symmetry_equiv_pos_as_xyz
'x,y,z'
'-x,-y,-z'
'-x,y,-z'
'x,-y,z'
'x+1/2,y+1/2,z'
'-x+1/2,-y+1/2,-z'
'-x+1/2,y+1/2,-z'
'x+1/2,-y+1/2,z'
loop_
_atom_site_label
_atom_site_fract_x
_atom_site_fract_y
_atom_site_fract_z
_atom_site_occupancy
Ba1 0.053 0.000 0.191 1
Ga1 0.166 0.500 0.999 1
I1 0.236 0.000 0.651 1
```

Results
total magnetic moment = 0.00 μB per formula unit
uncorrected formation energy = -1044 meV per atom

***

A plane-wave DFT calculation with PBE was carried out for crystalline BaGaI3 at its relaxed geometry.

Structure (CIF):
```
data_BaGaI3
_cell_length_a 4.930
_cell_length_b 10.877
_cell_length_c 9.185
_cell_angle_alpha 90.00
_cell_angle_beta 105.44
_cell_angle_gamma 90.00
_symmetry_space_group_name_H-M 'P 1 21/m 1'
_symmetry_Int_Tables_number 11
loop_
_symmetry_equiv_pos_as_xyz
'x,y,z'
'-x,-y,-z'
'-x,y+1/2,-z'
'x,-y+1/2,z'
loop_
_atom_site_label
_atom_site_fract_x
_atom_site_fract_y
_atom_site_fract_z
_atom_site_occupancy
Ba1 0.240 0.250 0.481 1
Ga1 0.022 0.750 0.048 1
I1 0.163 0.566 0.325 1
I2 0.402 0.750 0.807 1
```

Results
total magnetic moment = 0.00 μB per formula unit
ΔE to the lowest computed polymorph = 24 meV per atom
uncorrected formation energy = -1154 meV per atom

***

A plane-wave DFT calculation with PBE was carried out for crystalline BaGa4I6 at its relaxed geometry.

Structure (CIF):
```
data_BaGa4I6
_cell_length_a 10.108
_cell_length_b 8.958
_cell_length_c 10.366
_cell_angle_alpha 90.00
_cell_angle_beta 106.19
_cell_angle_gamma 90.00
_symmetry_space_group_name_H-M 'C 1 m 1'
_symmetry_Int_Tables_number 8
loop_
_symmetry_equiv_pos_as_xyz
'x,y,z'
'x,-y,z'
'x+1/2,y+1/2,z'
'x+1/2,-y+1/2,z'
loop_
_atom_site_label
_atom_site_fract_x
_atom_site_fract_y
_atom_site_fract_z
_atom_site_occupancy
Ba1 0.000 0.000 0.000 1
Ga1 0.153 0.243 0.628 1
Ga2 0.282 0.500 0.290 1
Ga3 0.349 0.000 0.283 1
I1 0.070 0.246 0.290 1
I2 0.226 0.258 0.941 1
I3 0.388 0.500 0.623 1
I4 0.424 0.000 0.584 1
```

Results
total magnetic moment = 0.00 μB per formula unit
uncorrected formation energy = -698 meV per atom